(1)
VASP calculation (PBE-GGA) on an optimized crystal structure of Tm2Be2GaPd5.

## Properties
VASP energy in eV/atom: -5.327
N(E_F) in states/eV/cell: 8.1

Cell lengths 3.4283, 9.5501, 9.5501 Å; angles 90.00, 90.00, 90.00 degrees
Last column: nearest neighbours and their distance in Å.
Atoms (fractional coordinates):
Be: 0.0000 0.1195 0.6195  6 Pd 2.35-2.40
Tm: 0.0000 0.1768 0.3232  3 Be 2.75-2.88, 6 Pd 2.94-3.00
Pd: 0.5000 0.7875 0.9319  2 Be 2.40
Pd: 0.5000 0.4319 0.2875  2 Be 2.40
Pd: 0.5000 0.9319 0.2125  2 Be 2.40
Tm: 0.0000 0.6768 0.1768  3 Be 2.75-2.88, 6 Pd 2.94-3.00
Be: 0.0000 0.3805 0.1195  6 Pd 2.35-2.40
Tm: 0.0000 0.3232 0.8232  3 Be 2.75-2.88, 6 Pd 2.94-3.00
Ga: 0.0000 0.0000 0.0000  8 Pd 2.73
Pd: 0.5000 0.5000 0.0000  4 Be 2.35
Pd: 0.5000 0.2125 0.0681  2 Be 2.40
Pd: 0.5000 0.5681 0.7125  2 Be 2.40
Be: 0.0000 0.6195 0.8805  6 Pd 2.35-2.40
Ga: 0.0000 0.5000 0.5000  8 Pd 2.73
Tm: 0.0000 0.8232 0.6768  3 Be 2.75-2.88, 6 Pd 2.94-3.00
Pd: 0.5000 0.2875 0.5681  2 Be 2.40
Pd: 0.5000 0.7125 0.4319  2 Be 2.40
Be: 0.0000 0.8805 0.3805  6 Pd 2.35-2.40
Pd: 0.5000 0.0000 0.5000  4 Be 2.35
Pd: 0.5000 0.0681 0.7875  2 Be 2.40



(2)
VASP calculation (PBE-GGA) on an optimized crystal structure of Zr14PaTi.

## Properties
VASP energy in eV/atom: -8.493
N(E_F) in states/eV/cell: 25.1

Cell lengths 6.1861, 6.1861, 10.7292 Å; angles 90.00, 90.00, 62.23 degrees
Last column: nearest neighbours and their distance in Å.
Atoms (fractional coordinates):
Zr: 0.8722 0.1278 0.5000  10 Zr 3.09-3.25
Ti: 0.3883 0.6117 0.0000  8 Zr 3.00-3.11, 2 Pa 3.11-3.28
Zr: 0.1299 0.8701 0.2389  1 Pa 3.04, 1 Ti 3.05, 8 Zr 3.07-3.26
Zr: 0.1251 0.3765 0.2490  10 Zr 3.07-3.20
Zr: 0.6195 0.3805 0.2437  1 Ti 3.00, 8 Zr 3.07-3.26, 1 Pa 3.08
Zr: 0.3723 0.1265 0.5000  10 Zr 3.09-3.20
Pa: 0.8752 0.1248 0.0000  8 Zr 3.03-3.16, 2 Ti 3.11-3.28
Zr: 0.1299 0.8701 0.7611  1 Pa 3.04, 1 Ti 3.05, 8 Zr 3.07-3.26
Zr: 0.6235 0.8749 0.2490  10 Zr 3.07-3.20
Zr: 0.3676 0.1185 0.0000  2 Pa 3.03-3.16, 2 Ti 3.08-3.11, 6 Zr 3.11-3.20
Zr: 0.6195 0.3805 0.7563  1 Ti 3.00, 8 Zr 3.07-3.26, 1 Pa 3.08
Zr: 0.3732 0.6268 0.5000  10 Zr 3.09-3.20
Zr: 0.8735 0.6277 0.5000  10 Zr 3.09-3.20
Zr: 0.8815 0.6324 0.0000  2 Pa 3.03-3.16, 2 Ti 3.08-3.11, 6 Zr 3.11-3.20
Zr: 0.6235 0.8749 0.7510  10 Zr 3.07-3.20
Zr: 0.1251 0.3765 0.7510  10 Zr 3.07-3.20



(3)
VASP calculation (PBE-GGA) on an optimized crystal structure of Y2ReBr.

## Properties
VASP energy in eV/atom: -6.527
Energy above the lowest structure with this stoichiometry in kJ per mole of atoms: 69.3
ΔE_f (raw) in eV per atom: 0.24
N(E_F) in states/eV/cell: 5.0

Cell lengths 6.1749, 6.1749, 6.1749 Å; angles 141.20, 141.20, 56.04 degrees
Last column: nearest neighbours and their distance in Å.
Atoms (fractional coordinates):
Y: 0.2500 0.7500 0.5000  4 Re 2.90
Re: 0.7500 0.2500 0.5000  4 Y 2.90
Y: 0.0000 0.0000 0.0000  4 Br 2.90
Br: 0.5000 0.5000 0.0000  4 Y 2.90



(4)
VASP calculation (PBE-GGA) on an optimized crystal structure of Sm5GeTe4.

## Properties
VASP energy in eV/atom: -5.429
ΔE_f (raw) in eV per atom: -1.35
N(E_F) in states/eV/cell: 5.5

Cell lengths 6.2207, 7.6576, 7.6576 Å; angles 80.50, 66.03, 66.03 degrees
Last column: nearest neighbours and their distance in Å.
Atoms (fractional coordinates):
Sm: 0.5012 0.0000 0.0000  2 Ge 3.11, 4 Te 3.15
Te: 0.4079 0.3979 0.7884  6 Sm 3.12-3.28
Sm: 0.9046 0.3736 0.8191  1 Ge 2.90, 4 Te 3.12-3.18
Te: 0.1963 0.2116 0.3979  6 Sm 3.12-3.28
Sm: 0.7238 0.1809 0.3736  1 Ge 2.90, 4 Te 3.12-3.18
Sm: 0.0974 0.6264 0.1809  1 Ge 2.90, 4 Te 3.12-3.18
Ge: 0.0011 0.0000 0.0000  6 Sm 2.90-3.11
Te: 0.5941 0.6021 0.2116  6 Sm 3.12-3.28
Te: 0.8058 0.7884 0.6021  6 Sm 3.12-3.28
Sm: 0.2782 0.8191 0.6264  1 Ge 2.90, 4 Te 3.12-3.18



(5)
VASP calculation (PBE-GGA) on an optimized crystal structure of KNbC2I.

## Properties
VASP energy in eV/atom: -5.012
ΔE_f (raw) in eV per atom: 1.22
N(E_F) in states/eV/cell: 2.4

Cell lengths 4.2761, 12.1160, 4.2761 Å; angles 90.00, 90.00, 90.00 degrees
Last column: nearest neighbours and their distance in Å.
Atoms (fractional coordinates):
C: 0.5000 0.0000 0.0000  2 Nb 2.14
I: 0.5000 0.5000 0.5000  4 K 3.02
C: 0.0000 0.0000 0.5000  2 Nb 2.14
Nb: 0.0000 0.0000 0.0000  4 C 2.14
K: 0.0000 0.5000 0.0000  4 I 3.02



(6)
VASP calculation (PBE-GGA) on an optimized crystal structure of KNa2IrF8.

## Properties
VASP energy in eV/atom: -4.407
ΔE_f (raw) in eV per atom: -2.11
N(E_F) in states/eV/cell: 10.5

Cell lengths 4.8427, 5.1561, 7.6685 Å; angles 89.97, 89.98, 92.02 degrees
Last column: nearest neighbours and their distance in Å.
Atoms (fractional coordinates):
F: 0.1413 0.7798 0.1826  1 Ir 1.94
F: 0.5246 0.7431 0.5000  2 Na 2.25, 1 F 2.51
F: 0.3249 0.2308 0.0001  1 Ir 1.94
F: 0.8587 0.2202 0.8174  1 Ir 1.94
Na: 0.4999 0.4999 0.7440  4 F 2.25-2.36
Na: 0.5001 0.5001 0.2560  4 F 2.25-2.36
Ir: 0.0000 0.0000 0.0000  6 F 1.94
F: 0.4754 0.2569 0.5000  2 Na 2.25, 1 F 2.51
K: 0.0000 0.0000 0.5000  8 F 2.62-2.91
F: 0.8583 0.2200 0.1825  1 Ir 1.94
F: 0.1417 0.7800 0.8175  1 Ir 1.94
F: 0.6751 0.7692 0.9999  1 Ir 1.94



(7)
VASP calculation (PBE-GGA) on an optimized crystal structure of Ni2MoCl.

## Properties
VASP energy in eV/atom: -5.505
Energy above the lowest structure with this stoichiometry in kJ per mole of atoms: 39.6
ΔE_f (raw) in eV per atom: 0.56
N(E_F) in states/eV/cell: 3.2

Cell lengths 4.1965, 4.1965, 4.1965 Å; angles 120.05, 120.05, 89.92 degrees
Last column: nearest neighbours and their distance in Å.
Atoms (fractional coordinates):
Cl: 0.5000 0.5000 0.0000  4 Mo 2.57, 4 Ni 2.57
Ni: 0.0000 0.0000 0.0000  4 Ni 2.57, 4 Mo 2.57
Ni: 0.2500 0.7500 0.5000  4 Cl 2.57, 4 Ni 2.57
Mo: 0.7500 0.2500 0.5000  4 Cl 2.57, 4 Ni 2.57



(8)
VASP calculation (PBE-GGA) on an optimized crystal structure of HfSbN2O.

## Properties
VASP energy in eV/atom: -7.552
ΔE_f (raw) in eV per atom: -0.41
N(E_F) in states/eV/cell: 3.5

Cell lengths 4.2263, 4.2263, 4.0327 Å; angles 90.00, 90.00, 90.00 degrees
Last column: nearest neighbours and their distance in Å.
Atoms (fractional coordinates):
Sb: 0.5000 0.5000 0.5000  8 N 2.92, 4 O 2.99
Hf: 0.0000 0.0000 0.0000  2 O 2.02, 4 N 2.11
N: 0.0000 0.5000 0.0000  2 Hf 2.11
O: 0.0000 0.0000 0.5000  2 Hf 2.02
N: 0.5000 0.0000 0.0000  2 Hf 2.11



> N(E_F) of number 7 (Ni2MoCl)?

3.2 states/eV/cell



> Which of these has the highest N(E_F)?

Zr14PaTi